(1)
# La6UN8 | Alexandria via LeMat-Bulk | PBE | relaxed
data_La6UN8
_chemical_formula_sum 'La18 U3 N24'
_space_group_name_H-M_alt 'R -3'
_space_group_IT_number 148
_space_group_name_Hall '-R 3'
_cell_length_a 7.8474
_cell_length_b 7.8474
_cell_length_c 14.8025
_cell_angle_alpha 90.00
_cell_angle_beta 90.00
_cell_angle_gamma 120.00
loop_
_atom_site_label
_atom_site_type_symbol
_atom_site_fract_x
_atom_site_fract_y
_atom_site_fract_z
La1 La 0.0372 0.7456 0.2490
U1 U 0.0000 0.0000 0.0000
N1 N 0.0000 0.0000 0.3178
N2 N 0.0021 0.7652 0.0836
# Spin magnetization   0.00 μB/f.u.
# Formation energy without anion corrections   -1.2299 eV per atom
# Uncorrected energy   -8.3936 eV/atom

***

(2)
# NaHgGe2Bi | Alexandria via LeMat-Bulk | PBE | relaxed
data_NaHgGe2Bi
_chemical_formula_sum 'Na1 Hg1 Ge2 Bi1'
_space_group_name_H-M_alt 'P 4/m m m'
_space_group_IT_number 123
_space_group_name_Hall '-P 4 2'
_cell_length_a 5.6169
_cell_length_b 5.6169
_cell_length_c 5.9775
_cell_angle_alpha 90.00
_cell_angle_beta 90.00
_cell_angle_gamma 90.00
loop_
_atom_site_label
_atom_site_type_symbol
_atom_site_fract_x
_atom_site_fract_y
_atom_site_fract_z
Na1 Na 0.0000 0.0000 0.0000
Hg1 Hg 0.5000 0.5000 0.0000
Ge1 Ge 0.0000 0.5000 0.5000
Bi1 Bi 0.0000 0.0000 0.5000
# Spin magnetization   0.00 μB/f.u.
# Formation energy   2.9 eV per formula unit
# Uncorrected energy   -2.3765 eV/atom

***

(3)
# NiRuBr2 | Alexandria via LeMat-Bulk | PBE | relaxed
data_NiRuBr2
_chemical_formula_sum 'Ni1 Ru1 Br2'
_space_group_name_H-M_alt 'P m m m'
_space_group_IT_number 47
_cell_length_a 3.2248
_cell_length_b 3.9733
_cell_length_c 6.3192
_cell_angle_alpha 90.00
_cell_angle_beta 90.00
_cell_angle_gamma 90.00
loop_
_space_group_symop_operation_xyz
'x,y,z'
'-x,-y,-z'
'-x,-y,z'
'x,y,-z'
'x,-y,-z'
'-x,y,z'
'-x,y,-z'
'x,-y,z'
loop_
_atom_site_label
_atom_site_type_symbol
_atom_site_fract_x
_atom_site_fract_y
_atom_site_fract_z
Ni1 Ni 0.0000 0.0000 0.0000
Ru1 Ru 0.5000 0.0000 0.5000
Br1 Br 0.0000 0.5000 0.5000
Br2 Br 0.5000 0.5000 0.0000
# Spin magnetization   2.78 μB/f.u.
# Formation energy without anion corrections   0.7783 eV per atom
# Offset from the most stable computed form   58.4 kJ/mol of atoms
# Uncorrected energy   -3.8225 eV/atom

***

(4)
# Nd6POs2Cl3 | Alexandria via LeMat-Bulk | PBE | relaxed
data_Nd6POs2Cl3
_chemical_formula_sum 'Nd12 P2 Os4 Cl6'
_space_group_name_H-M_alt 'C 1 2/m 1'
_space_group_IT_number 12
_cell_length_a 7.2028
_cell_length_b 12.4806
_cell_length_c 7.7487
_cell_angle_alpha 90.00
_cell_angle_beta 108.16
_cell_angle_gamma 90.00
loop_
_space_group_symop_operation_xyz
'x,y,z'
'-x,-y,-z'
'-x,y,-z'
'x,-y,z'
'x+1/2,y+1/2,z'
'-x+1/2,-y+1/2,-z'
'-x+1/2,y+1/2,-z'
'x+1/2,-y+1/2,z'
loop_
_atom_site_label
_atom_site_type_symbol
_atom_site_fract_x
_atom_site_fract_y
_atom_site_fract_z
Nd1 Nd 0.2242 0.0000 0.2065
Nd2 Nd 0.2401 0.3281 0.2075
P1 P 0.0000 0.5000 0.0000
Os1 Os 0.0000 0.1672 0.0000
Cl1 Cl 0.0000 0.0000 0.5000
Cl2 Cl 0.0000 0.3377 0.5000
# Spin magnetization   0.00 μB/f.u.
# Formation energy without anion corrections   -1.0355 eV per atom
# Uncorrected energy   -6.2035 eV/atom

***

(5)
# SbTeSe | Alexandria via LeMat-Bulk | PBE | relaxed
data_SbTeSe
_chemical_formula_sum 'Sb4 Te4 Se4'
_space_group_name_H-M_alt 'F -4 3 m'
_space_group_IT_number 216
_space_group_name_Hall 'F -4 2 3'
_cell_length_a 7.1837
_cell_length_b 7.1837
_cell_length_c 7.1837
_cell_angle_alpha 90.00
_cell_angle_beta 90.00
_cell_angle_gamma 90.00
loop_
_atom_site_label
_atom_site_type_symbol
_atom_site_fract_x
_atom_site_fract_y
_atom_site_fract_z
Sb1 Sb 0.0000 0.0000 0.0000
Te1 Te 0.2500 0.2500 0.2500
Se1 Se 0.2500 0.2500 0.7500
# Spin magnetization   0.00 μB/f.u.
# Formation energy without anion corrections   0.1656 eV per atom
# Offset from the most stable computed form   28.4 kJ/mol of atoms
# Uncorrected energy   -3.4173 eV/atom

***

(6)
# Sr2AgH2 | Alexandria via LeMat-Bulk | PBE | relaxed
data_Sr2AgH2
_chemical_formula_sum 'Sr4 Ag2 H4'
_space_group_name_H-M_alt 'I 4/m m m'
_space_group_IT_number 139
_space_group_name_Hall '-I 4 2'
_cell_length_a 4.0524
_cell_length_b 4.0524
_cell_length_c 13.5169
_cell_angle_alpha 90.00
_cell_angle_beta 90.00
_cell_angle_gamma 90.00
loop_
_atom_site_label
_atom_site_type_symbol
_atom_site_fract_x
_atom_site_fract_y
_atom_site_fract_z
Sr1 Sr 0.0000 0.0000 0.1474
Ag1 Ag 0.0000 0.0000 0.5000
H1 H 0.0000 0.5000 0.2500
# Spin magnetization   0.00 μB/f.u.
# Offset from the most stable computed form   0.0 kJ/mol of atoms
# Uncorrected energy   -2.9967 eV/atom